A plane-wave DFT calculation with PBE-GGA was carried out for crystalline SbSe at its relaxed geometry.

a b c (Å): 3.735 4.684 5.998
angles (deg): 90.00 90.00 90.00
Element x y z (fractional)
Sb: 0.000 0.000 0.000
Sb: 0.500 0.500 0.500
Se: 0.000 0.000 0.500
Se: 0.500 0.500 0.000

Summary:
Crystal system: orthorhombic
Electronic total energy: -3.85 eV per atom
E_form (uncorrected): -0.0490 eV per atom
SG: Immm, No. 71
Total moment: 0.0 μB per formula unit